LiMn2NiO6 | PBE with a Hubbard U | relaxed

Energy above the most stable polymorph in this dataset: 0 meV/atom
Raw total energy: -6.243 eV/atom
Symmetry: C2/c (15)

```
20
Lattice="4.387 -2.494 0.000 4.387 2.494 0.000 -1.422 0.000 10.327" Properties=species:S:1:pos:R:3 pbc="T T T"
Li 3.321 1.811 7.746
Li 4.032 -1.811 2.582
Mn 3.655 1.257 0.036
Mn 4.409 1.257 5.128
Mn 2.945 -1.257 5.200
Mn 3.698 -1.257 10.291
Ni 1.483 1.247 5.164
Ni 2.194 -1.247 0.000
O -0.107 0.321 6.229
O 0.604 -0.321 1.065
O 0.777 0.397 9.364
O 1.488 -0.397 4.200
O 2.957 0.462 6.145
O 3.686 0.462 9.346
O 3.668 -0.462 0.982
O 4.396 -0.462 4.182
O 5.866 0.397 6.127
O 6.577 -0.397 0.964
O 6.750 0.321 9.262
O 7.461 -0.321 4.099
```

=====

CaMnSb2O8 | PBE with a Hubbard U | relaxed

Raw total energy: -6.179 eV/atom
Symmetry: P-3 (147)

```
12
Lattice="5.344 0.000 0.000 -2.672 4.628 0.000 0.000 0.000 6.909" Properties=species:S:1:pos:R:3 pbc="T T T"
Ca 0.000 0.000 0.000
Mn 0.000 0.000 3.455
Sb 0.000 3.086 1.812
Sb 2.672 1.543 5.098
O -1.850 3.376 2.264
O 0.673 1.338 2.264
O 1.495 0.086 4.645
O 0.000 3.086 6.854
O 2.672 1.543 0.055
O 1.177 4.543 2.264
O 1.999 3.290 4.645
O 4.522 1.252 4.645
```